# 1
Entry from the Alexandria database: a relaxed Li4Ni3PtO8 crystal (GGA+U).

Unit cell a=5.9036 b=5.9036 c=5.9036 alpha=60.75 beta=60.75 gamma=60.75
Fractional coordinates of all 16 atoms:
Li 0.0000 0.0000 0.0000
Li 0.0000 0.5000 0.5000
Li 0.5000 0.0000 0.5000
Li 0.5000 0.5000 0.0000
Ni 0.0000 0.0000 0.5000
Ni 0.0000 0.5000 0.0000
Ni 0.5000 0.0000 0.0000
Pt 0.5000 0.5000 0.5000
O 0.2365 0.2365 0.2365
O 0.2542 0.7407 0.7407
O 0.2593 0.2593 0.7458
O 0.2593 0.7458 0.2593
O 0.7407 0.2542 0.7407
O 0.7407 0.7407 0.2542
O 0.7458 0.2593 0.2593
O 0.7635 0.7635 0.7635

Summary:
Total energy (eV/atom): -5.110



# 2
Entry from the Alexandria database: a relaxed Li2Ni3PtO6 crystal (GGA+U).

Unit cell a=5.1635 b=5.1635 c=5.2376 alpha=99.81 beta=99.81 gamma=119.60
Fractional coordinates of all 12 atoms:
Li 0.1653 0.8347 0.0000
Li 0.8347 0.1653 0.0000
Ni 0.0000 0.0000 0.5000
Ni 0.3335 0.6665 0.5000
Ni 0.6665 0.3335 0.5000
Pt 0.5000 0.5000 0.0000
O 0.0997 0.4167 0.7405
O 0.2666 0.2666 0.2495
O 0.4167 0.0997 0.7405
O 0.5833 0.9003 0.2595
O 0.7334 0.7334 0.7505
O 0.9003 0.5833 0.2595

Summary:
Total energy (eV/atom): -5.118



# 3
Entry from the Alexandria database: a relaxed Li4PuNi3O8 crystal (GGA+U).

Unit cell a=6.0563 b=6.0563 c=6.0563 alpha=59.98 beta=59.98 gamma=59.98
Fractional coordinates of all 16 atoms:
Li 0.0000 0.0000 0.0000
Li 0.0000 0.5000 0.5000
Li 0.5000 0.0000 0.5000
Li 0.5000 0.5000 0.0000
Pu 0.5000 0.5000 0.5000
Ni 0.0000 0.0000 0.5000
Ni 0.0000 0.5000 0.0000
Ni 0.5000 0.0000 0.0000
O 0.2392 0.2392 0.2392
O 0.2546 0.7438 0.7438
O 0.2562 0.2562 0.7454
O 0.2562 0.7454 0.2562
O 0.7438 0.2546 0.7438
O 0.7438 0.7438 0.2546
O 0.7454 0.2562 0.2562
O 0.7608 0.7608 0.7608

Summary:
Total energy (eV/atom): -6.118



# 4
Entry from the Alexandria database: a relaxed LiPuNiO6 crystal (GGA+U).

Unit cell a=4.7708 b=4.7708 c=9.0185 alpha=90.00 beta=90.00 gamma=90.00
Fractional coordinates of all 18 atoms:
Li 0.0000 0.0000 0.0000
Li 0.5000 0.5000 0.5000
Pu 0.0000 0.0000 0.6638
Pu 0.5000 0.5000 0.1638
Ni 0.0000 0.0000 0.3258
Ni 0.5000 0.5000 0.8258
O 0.1817 0.1817 0.4925
O 0.1914 0.1914 0.8213
O 0.1975 0.1975 0.1722
O 0.3025 0.6975 0.6722
O 0.3086 0.6914 0.3213
O 0.3183 0.6817 0.9925
O 0.6817 0.3183 0.9925
O 0.6914 0.3086 0.3213
O 0.6975 0.3025 0.6722
O 0.8025 0.8025 0.1722
O 0.8086 0.8086 0.8213
O 0.8183 0.8183 0.4925

Summary:
Total energy (eV/atom): -6.965



# 5
Entry from the Alexandria database: a relaxed LiPu2NiO8 crystal (GGA+U).

Unit cell a=6.5520 b=6.5520 c=6.5520 alpha=128.16 beta=128.16 gamma=76.37
Fractional coordinates of all 12 atoms:
Li 0.0000 0.0000 0.0000
Pu 0.5000 0.5000 0.0000
Pu 0.7500 0.2500 0.5000
Ni 0.2500 0.7500 0.5000
O 0.3551 0.1140 0.7589
O 0.3551 0.5962 0.2411
O 0.3862 0.1097 0.2765
O 0.4038 0.6449 0.7589
O 0.8332 0.1097 0.7235
O 0.8860 0.6449 0.2411
O 0.8903 0.1668 0.2765
O 0.8903 0.6138 0.7235

Summary:
Total energy (eV/atom): -7.616



# 6
Entry from the Alexandria database: a relaxed Li2PuNiO4 crystal (GGA+U).

Unit cell a=5.5832 b=3.1517 c=5.5836 alpha=90.00 beta=114.16 gamma=90.00
Fractional coordinates of all 8 atoms:
Li 0.0000 0.0000 0.0000
Li 0.0000 0.5000 0.5000
Pu 0.5000 0.0000 0.5000
Ni 0.5000 0.5000 0.0000
O 0.2215 0.5000 0.2756
O 0.3002 0.0000 0.7692
O 0.6998 0.0000 0.2308
O 0.7785 0.5000 0.7244

Summary:
Total energy (eV/atom): -6.996